Compound: NiBPdW
Source: OQMD
Functional: PBE
Structure: relaxed

Cell lengths 4.0773, 4.0773, 4.0773 Å; angles 60.00, 60.00, 60.00 degrees
Atoms (fractional coordinates):
B (0.0000, 0.0000, 0.0000)
Ni (0.5000, 0.5000, 0.5000)
Pd (0.7500, 0.7500, 0.7500)
W (0.2500, 0.2500, 0.2500)

***

Compound: NiBPdW
Source: OQMD
Functional: PBE
Structure: relaxed

Cell lengths 4.1477, 4.1477, 4.1477 Å; angles 60.00, 60.00, 60.00 degrees
Atoms (fractional coordinates):
B (0.0000, 0.0000, 0.0000)
Ni (0.7500, 0.7500, 0.7500)
Pd (0.2500, 0.2500, 0.2500)
W (0.5000, 0.5000, 0.5000)

***

Compound: PmNi12B6
Source: OQMD
Functional: PBE
Structure: relaxed

Cell lengths 6.0386, 6.0386, 6.0386 Å; angles 104.45, 104.45, 104.45 degrees
Atoms (fractional coordinates):
B (0.6669, 0.2345, 0.2345)
B (0.2345, 0.6669, 0.2345)
B (0.7655, 0.7655, 0.3331)
B (0.2345, 0.2345, 0.6669)
B (0.7655, 0.3331, 0.7655)
B (0.3331, 0.7655, 0.7655)
Ni (0.8690, 0.5000, 0.1310)
Ni (0.5000, 0.8690, 0.1310)
Ni (0.4552, 0.4552, 0.1872)
Ni (0.4552, 0.1872, 0.4552)
Ni (0.1872, 0.4552, 0.4552)
Ni (0.8690, 0.1310, 0.5000)
Ni (0.1310, 0.8690, 0.5000)
Ni (0.8128, 0.5448, 0.5448)
Ni (0.5448, 0.8128, 0.5448)
Ni (0.5448, 0.5448, 0.8128)
Ni (0.5000, 0.1310, 0.8690)
Ni (0.1310, 0.5000, 0.8690)
Pm (0.0000, 0.0000, 0.0000)

***

Compound: PmNiB4
Source: OQMD
Functional: PBE
Structure: relaxed

Cell lengths 4.9966, 4.9966, 4.9966 Å; angles 143.44, 115.67, 76.33 degrees
Atoms (fractional coordinates):
B (0.5783, 0.2485, 0.3298)
B (0.0813, 0.7515, 0.3298)
B (0.9187, 0.2485, 0.6702)
B (0.4217, 0.7515, 0.6702)
Ni (0.0000, 0.0000, 0.0000)
Pm (0.5000, 0.5000, 0.0000)

***

Compound: Pm2Ni5B4
Source: OQMD
Functional: PBE
Structure: relaxed

Cell lengths 5.5263, 5.5263, 6.7779 Å; angles 121.44, 121.44, 54.92 degrees
Atoms (fractional coordinates):
B (0.2217, 0.2217, 0.3405)
B (0.4006, 0.4006, 0.3588)
B (0.5994, 0.5994, 0.6412)
B (0.7783, 0.7783, 0.6595)
Ni (0.0000, 0.0000, 0.0000)
Ni (0.8226, 0.3267, 0.3716)
Ni (0.3267, 0.8226, 0.3716)
Ni (0.6733, 0.1774, 0.6284)
Ni (0.1774, 0.6733, 0.6284)
Pm (0.7254, 0.7254, 0.1499)
Pm (0.2746, 0.2746, 0.8501)

***

Compound: PmNiB4
Source: OQMD
Functional: PBE
Structure: relaxed

Cell lengths 3.2060, 3.2060, 6.6570 Å; angles 90.00, 90.00, 120.00 degrees
Atoms (fractional coordinates):
B (0.6667, 0.3333, 0.3037)
B (0.3333, 0.6667, 0.3037)
B (0.6667, 0.3333, 0.6963)
B (0.3333, 0.6667, 0.6963)
Ni (0.0000, 0.0000, 0.5000)
Pm (0.0000, 0.0000, 0.0000)

***

Compound: PrNi2B
Source: OQMD
Functional: PBE
Structure: relaxed

Cell lengths 3.0137, 6.5732, 6.5732 Å; angles 26.63, 90.00, 90.00 degrees
Atoms (fractional coordinates):
B (0.0000, 0.6307, 0.6307)
Ni (0.5000, 0.1533, 0.1533)
Ni (0.0000, 0.7802, 0.7802)
Pr (0.5000, 0.4359, 0.4359)

***

Compound: PrNi12B6
Source: OQMD
Functional: PBE
Structure: relaxed

Cell lengths 6.0629, 6.0629, 11.0826 Å; angles 90.00, 90.00, 75.31 degrees
Atoms (fractional coordinates):
B (0.3995, 0.0131, 0.1220)
B (0.9869, 0.6005, 0.1220)
B (0.4868, 0.5133, 0.1594)
B (0.8357, 0.1643, 0.3350)
B (0.3241, 0.2482, 0.3852)
B (0.7518, 0.6759, 0.3852)
B (0.0131, 0.3995, 0.6220)
B (0.6005, 0.9869, 0.6220)
B (0.5133, 0.4868, 0.6594)
B (0.1643, 0.8357, 0.8350)
B (0.2482, 0.3241, 0.8852)
B (0.6759, 0.7518, 0.8852)
Ni (0.2746, 0.3426, 0.0671)
Ni (0.6574, 0.7254, 0.0671)
Ni (0.2220, 0.7780, 0.0996)
Ni (0.5403, 0.1951, 0.2350)
Ni (0.8049, 0.4597, 0.2350)
Ni (0.1461, 0.1195, 0.2558)
Ni (0.8805, 0.8539, 0.2558)
Ni (0.2104, 0.5252, 0.2744)
Ni (0.4748, 0.7896, 0.2744)
Ni (0.5691, 0.4309, 0.4163)
Ni (0.6290, 0.0054, 0.4373)
Ni (0.9946, 0.3710, 0.4373)
Ni (0.3426, 0.2746, 0.5671)
Ni (0.7254, 0.6574, 0.5671)
Ni (0.7780, 0.2220, 0.5996)
Ni (0.1951, 0.5403, 0.7350)
Ni (0.4597, 0.8049, 0.7350)
Ni (0.1195, 0.1461, 0.7558)
Ni (0.8539, 0.8805, 0.7558)
Ni (0.5252, 0.2104, 0.7744)
Ni (0.7896, 0.4748, 0.7744)
Ni (0.4309, 0.5691, 0.9163)
Ni (0.0054, 0.6290, 0.9373)
Ni (0.3710, 0.9946, 0.9373)
Pr (0.1677, 0.8323, 0.4991)
Pr (0.8323, 0.1677, 0.9991)

***

Compound: Pr2Ni5B4
Source: OQMD
Functional: PBE
Structure: relaxed

Cell lengths 5.5414, 5.5414, 6.8120 Å; angles 121.10, 121.10, 55.24 degrees
Atoms (fractional coordinates):
B (0.2214, 0.2214, 0.3407)
B (0.4013, 0.4013, 0.3624)
B (0.5987, 0.5987, 0.6376)
B (0.7786, 0.7786, 0.6593)
Ni (0.0000, 0.0000, 0.0000)
Ni (0.8234, 0.3276, 0.3725)
Ni (0.3276, 0.8234, 0.3725)
Ni (0.6724, 0.1766, 0.6275)
Ni (0.1766, 0.6724, 0.6275)
Pr (0.7256, 0.7256, 0.1486)
Pr (0.2744, 0.2744, 0.8514)

***

Compound: Pr2Ni5B4
Source: OQMD
Functional: PBE
Structure: relaxed

Cell lengths 5.5418, 5.5418, 6.8179 Å; angles 121.09, 121.09, 55.29 degrees
Atoms (fractional coordinates):
B (0.5988, 0.5988, 0.1375)
B (0.7786, 0.7786, 0.1593)
B (0.2214, 0.2214, 0.8407)
B (0.4012, 0.4012, 0.8625)
Ni (0.6723, 0.1765, 0.1273)
Ni (0.1765, 0.6723, 0.1273)
Ni (0.0000, 0.0000, 0.5000)
Ni (0.8235, 0.3277, 0.8727)
Ni (0.3277, 0.8235, 0.8727)
Pr (0.2744, 0.2744, 0.3514)
Pr (0.7256, 0.7256, 0.6486)

***

Compound: PrNi3BPt
Source: OQMD
Functional: PBE
Structure: relaxed

Cell lengths 5.2096, 5.2096, 7.1758 Å; angles 90.00, 90.00, 120.00 degrees
Atoms (fractional coordinates):
B (0.6667, 0.3333, 0.5000)
B (0.3333, 0.6667, 0.5000)
Ni (0.5000, 0.0000, 0.3058)
Ni (0.0000, 0.5000, 0.3058)
Ni (0.5000, 0.5000, 0.3058)
Ni (0.5000, 0.0000, 0.6942)
Ni (0.0000, 0.5000, 0.6942)
Ni (0.5000, 0.5000, 0.6942)
Pr (0.0000, 0.0000, 0.0000)
Pr (0.0000, 0.0000, 0.5000)
Pt (0.6667, 0.3333, 0.0000)
Pt (0.3333, 0.6667, 0.0000)

***

Compound: PrSmNi6B2Pt2
Source: OQMD
Functional: PBE
Structure: relaxed

Cell lengths 5.1736, 5.1736, 7.1548 Å; angles 90.00, 90.00, 120.00 degrees
Atoms (fractional coordinates):
B (0.6667, 0.3333, 0.5000)
B (0.3333, 0.6667, 0.5000)
Ni (0.5000, 0.0000, 0.3067)
Ni (0.0000, 0.5000, 0.3067)
Ni (0.5000, 0.5000, 0.3067)
Ni (0.5000, 0.0000, 0.6933)
Ni (0.0000, 0.5000, 0.6933)
Ni (0.5000, 0.5000, 0.6933)
Pr (0.0000, 0.0000, 0.0000)
Pt (0.6667, 0.3333, 0.0000)
Pt (0.3333, 0.6667, 0.0000)
Sm (0.0000, 0.0000, 0.5000)

***

| no. | uncorrected energy (eV/atom) |
| --- | --- |
| 1 | -7.301 |
| 2 | -6.881 |
| 3 | -6.269 |
| 4 | -6.168 |
| 5 | -6.304 |
| 6 | -6.349 |
| 7 | -5.510 |
| 8 | -6.271 |
| 9 | -6.282 |
| 10 | -6.282 |
| 11 | -6.252 |
| 12 | -6.274 |